[1]
First-principles (PBE) data for Tl13Au2 after structural relaxation, as listed in Alexandria.

Summary:
uncorrected energy: -2.49 eV/atom
excess energy over the best structure of this formula in the dataset: 0 meV per atom

Lattice parameters (Å, degrees): 6.7466 7.9320 9.2791 65.90 84.01 80.83
With the nearest neighbours (Å) after each atom.
Space group P-1 (No. 2)
Asymmetric unit:
Tl 0.0000 0.0000 0.0000 (multiplicity 1)  2 Au 3.10, 2 Tl 3.39
Tl 0.0486 0.2143 0.3291 (multiplicity 2)  2 Au 2.96-3.07, 1 Tl 3.25
Tl 0.1815 0.6447 0.3634 (multiplicity 2)  1 Au 3.08, 2 Tl 3.37-3.40
Tl 0.2433 0.5836 0.0191 (multiplicity 2)  8 Tl 3.39-3.72
Tl 0.2897 0.3628 0.7698 (multiplicity 2)  1 Au 3.05, 3 Tl 3.32-3.39
Tl 0.4296 0.0794 0.1401 (multiplicity 2)  1 Au 3.05, 3 Tl 3.25-3.38
Tl 0.4739 0.7634 0.5716 (multiplicity 2)  2 Au 3.03-3.17, 2 Tl 3.32-3.37
Au 0.1945 0.0675 0.6659 (multiplicity 2)  8 Tl 2.96-3.17

***

[2]
First-principles (PBE) data for TlAu4 after structural relaxation, as listed in Alexandria.

Summary:
uncorrected energy: -3.00 eV/atom
excess energy over the best structure of this formula in the dataset: 68 meV per atom

Lattice parameters (Å, degrees): 8.9776 5.5880 5.8690 90.00 128.82 90.00
With the nearest neighbours (Å) after each atom.
Space group C2/m (No. 12)
Asymmetric unit:
Tl 0.0000 0.0000 0.0000 (multiplicity 2)  10 Au 3.07-3.25
Au 0.0000 0.2511 0.5000 (multiplicity 4)  6 Au 2.78-2.84
Au 0.1712 0.5000 0.0324 (multiplicity 4)  5 Au 2.84-2.85, 3 Tl 3.07-3.14

***

[3]
First-principles (PBE) data for Tl6Au after structural relaxation, as listed in Alexandria.

Summary:
uncorrected energy: -1.90 eV/atom
excess energy over the best structure of this formula in the dataset: 504 meV per atom

Lattice parameters (Å, degrees): 8.5734 8.5734 8.5734 90.00 90.00 90.00
With the nearest neighbours (Å) after each atom.
Space group Im-3m (No. 229)
Asymmetric unit:
Tl 0.0000 0.2500 0.5000 (multiplicity 12)  4 Tl 3.03
Au 0.0000 0.0000 0.0000 (multiplicity 2)  24 Tl 4.79

***

[4]
First-principles (PBE) data for Tl7Au4 after structural relaxation, as listed in Alexandria.

Summary:
uncorrected energy: -2.72 eV/atom

Lattice parameters (Å, degrees): 8.4547 8.4547 4.8096 90.00 90.00 120.00
With the nearest neighbours (Å) after each atom.
Space group P-6m2 (No. 187)
Asymmetric unit:
Tl 0.0000 0.0000 0.0000 (multiplicity 1)  6 Tl 3.64, 6 Au 3.96
Tl 0.1868 0.3736 0.5000 (multiplicity 3)  4 Au 2.96-3.22
Tl 0.5310 0.0619 0.0000 (multiplicity 3)  5 Au 2.89-3.05
Au 0.3333 0.6667 0.0000 (multiplicity 1)  9 Tl 2.89-3.22
Au 0.4293 0.2146 0.5000 (multiplicity 3)  6 Tl 2.96-3.05, 2 Au 3.01

***

[5]
First-principles (PBE) data for Tl4Au after structural relaxation, as listed in Alexandria.

Summary:
uncorrected energy: -2.41 eV/atom
excess energy over the best structure of this formula in the dataset: 171 meV per atom

Lattice parameters (Å, degrees): 5.5806 5.5806 5.5806 90.00 90.00 90.00
With the nearest neighbours (Å) after each atom.
Space group Pm-3m (No. 221)
Asymmetric unit:
Tl 0.0000 0.0000 0.0000 (multiplicity 1)  12 Tl 3.95
Tl 0.0000 0.5000 0.5000 (multiplicity 3)  2 Au 2.79
Au 0.5000 0.5000 0.5000 (multiplicity 1)  6 Tl 2.79

***

[6]
First-principles (PBE) data for Tl3Au after structural relaxation, as listed in Alexandria.

Summary:
uncorrected energy: -2.55 eV/atom
excess energy over the best structure of this formula in the dataset: 73 meV per atom

Lattice parameters (Å, degrees): 7.2352 7.2352 9.8449 90.00 90.00 120.00
With the nearest neighbours (Å) after each atom.
Space group P6_3/mmc (No. 194)
Asymmetric unit:
Tl 0.0000 0.5000 0.0000 (multiplicity 6)  2 Au 3.23, 4 Tl 3.28
Tl 0.1548 0.3097 0.2500 (multiplicity 6)  2 Au 3.13, 6 Tl 3.28-3.36
Au 0.0000 0.0000 0.0000 (multiplicity 2)  6 Tl 3.13
Au 0.3333 0.6667 0.7500 (multiplicity 2)  6 Tl 3.23

***

[7]
First-principles (PBE) data for Tl17Au12 after structural relaxation, as listed in Alexandria.

Summary:
uncorrected energy: -2.72 eV/atom

Lattice parameters (Å, degrees): 11.3061 11.3061 11.3061 90.00 90.00 90.00
With the nearest neighbours (Å) after each atom.
Space group I-43m (No. 217)
Asymmetric unit:
Tl 0.0000 0.0000 0.0000 (multiplicity 2)  4 Tl 3.22, 12 Au 3.48
Tl 0.0525 0.3601 0.3601 (multiplicity 24)  5 Au 3.19-3.31, 7 Tl 3.22-3.45
Tl 0.1644 0.1644 0.8356 (multiplicity 8)  4 Tl 3.22, 6 Au 3.28
Au 0.0937 0.0937 0.2774 (multiplicity 24)  3 Au 2.94-3.00, 5 Tl 3.19-3.28

***

[8]
First-principles (PBE) data for Tl2Au after structural relaxation, as listed in Alexandria.

Summary:
uncorrected energy: -2.52 eV/atom

Lattice parameters (Å, degrees): 5.5044 5.5044 3.0478 90.00 90.00 120.00
With the nearest neighbours (Å) after each atom.
Space group P6/mmm (No. 191)
Asymmetric unit:
Tl 0.3333 0.6667 0.0000 (multiplicity 2)  5 Tl 3.05-3.18
Au 0.0000 0.0000 0.5000 (multiplicity 1)  2 Au 3.05

***

[9]
First-principles (PBE) data for TlAu5 after structural relaxation, as listed in Alexandria.

Summary:
uncorrected energy: -3.07 eV/atom
excess energy over the best structure of this formula in the dataset: 5 meV per atom

Lattice parameters (Å, degrees): 5.2077 5.2077 4.9258 90.00 90.00 120.00
With the nearest neighbours (Å) after each atom.
Space group P-62m (No. 189)
Asymmetric unit:
Tl 0.0000 0.0000 0.0000 (multiplicity 1)  12 Au 3.01-3.06
Au 0.0000 0.6512 0.5000 (multiplicity 3)  10 Au 2.94-3.15, 2 Tl 3.06
Au 0.3333 0.6667 0.0000 (multiplicity 2)  9 Au 2.99-3.01, 3 Tl 3.01

***

[10]
First-principles (PBE) data for Tl5Au after structural relaxation, as listed in Alexandria.

Summary:
uncorrected energy: -2.51 eV/atom
excess energy over the best structure of this formula in the dataset: 0 meV per atom

Lattice parameters (Å, degrees): 12.6063 3.7655 7.6313 90.00 107.59 90.00
With the nearest neighbours (Å) after each atom.
Space group Cm (No. 8)
Asymmetric unit:
Tl 0.0000 0.0000 0.0000 (multiplicity 2)  2 Au 3.07, 3 Tl 3.34-3.41
Tl 0.0177 0.0000 0.4546 (multiplicity 2)  2 Au 3.22, 5 Tl 3.41-3.54
Tl 0.1901 0.5000 0.8403 (multiplicity 2)  2 Au 3.22, 5 Tl 3.41-3.54
Tl 0.2083 0.5000 0.2960 (multiplicity 2)  2 Au 3.07, 3 Tl 3.34-3.41
Tl 0.3542 0.0000 0.6480 (multiplicity 2)  8 Tl 3.34-3.44
Au 0.3538 0.0000 0.1472 (multiplicity 2)  8 Tl 3.07-3.22

***

[11]
First-principles (PBE) data for Tm3TlAu after structural relaxation, as listed in Alexandria.

Summary:
uncorrected energy: -4.13 eV/atom

Lattice parameters (Å, degrees): 14.9325 6.2690 12.0877 90.00 100.99 90.00
With the nearest neighbours (Å) after each atom.
Space group C2/c (No. 15)
Asymmetric unit:
Tm 0.0787 0.1940 0.0704 (multiplicity 8)  2 Au 2.86-2.87, 3 Tl 3.13-3.18
Tm 0.1085 0.4634 0.3513 (multiplicity 8)  2 Au 3.08-3.30, 2 Tl 3.20-3.35
Tm 0.2134 0.0206 0.8020 (multiplicity 8)  1 Au 2.76
Tl 0.0935 0.3063 0.6118 (multiplicity 8)  8 Tm 3.13-3.45, 1 Au 3.15
Au 0.0000 0.0250 0.2500 (multiplicity 4)  4 Tm 2.86-3.14, 2 Tl 3.15
Au 0.2500 0.2500 0.0000 (multiplicity 4)  6 Tm 2.76-3.08

***

[12]
First-principles (PBE) data for Tm4TlAu2 after structural relaxation, as listed in Alexandria.

Summary:
uncorrected energy: -4.35 eV/atom
excess energy over the best structure of this formula in the dataset: 0 meV per atom

Lattice parameters (Å, degrees): 5.0348 5.0348 24.7492 90.00 90.00 120.00
With the nearest neighbours (Å) after each atom.
Space group R-3m (No. 166, hexagonal axes)
Asymmetric unit:
Tm 0.0000 0.0000 0.1168 (multiplicity 6)  4 Au 3.04-3.36, 3 Tl 3.16
Tm 0.0000 0.0000 0.3706 (multiplicity 6)  4 Au 2.92-3.10, 1 Tl 3.20
Tl 0.0000 0.0000 0.5000 (multiplicity 3)  8 Tm 3.16-3.20
Au 0.0000 0.0000 0.2526 (multiplicity 6)  7 Tm 2.92-3.10

***

[13]
First-principles (PBE) data for Tm2Tl2Au after structural relaxation, as listed in Alexandria.

Summary:
uncorrected energy: -3.78 eV/atom

Lattice parameters (Å, degrees): 3.5613 20.6517 3.5698 90.00 90.00 90.00
With the nearest neighbours (Å) after each atom.
Space group Cmmm (No. 65)
Asymmetric unit:
Tm 0.0000 0.0842 0.0000 (multiplicity 4)  4 Au 3.06, 4 Tl 3.30
Tl 0.0000 0.3129 0.5000 (multiplicity 4)  2 Tl 3.15, 4 Tm 3.30
Au 0.0000 0.5000 0.5000 (multiplicity 2)  8 Tm 3.06

***

[14]
First-principles (PBE) data for Tm6Tl2Au after structural relaxation, as listed in Alexandria.

Summary:
uncorrected energy: -4.12 eV/atom

Lattice parameters (Å, degrees): 6.1470 8.5531 11.1500 90.00 120.02 90.00
With the nearest neighbours (Å) after each atom.
Space group P2_1/c (No. 14)
Asymmetric unit:
Tm 0.0550 0.1728 0.4412 (multiplicity 4)  1 Au 2.93, 3 Tl 3.09-3.17
Tm 0.3453 0.6815 0.4440 (multiplicity 4)  1 Au 2.94, 3 Tl 3.23-3.26
Tm 0.3974 0.0290 0.2831 (multiplicity 4)  1 Au 2.88, 2 Tl 3.15-3.20
Tl 0.1719 0.1263 0.7503 (multiplicity 4)  8 Tm 3.09-3.26
Au 0.0000 0.0000 0.0000 (multiplicity 2)  6 Tm 2.88-2.94

***

[15]
First-principles (PBE) data for Tm7TlAu4 after structural relaxation, as listed in Alexandria.

Summary:
uncorrected energy: -4.34 eV/atom

Lattice parameters (Å, degrees): 13.9280 5.5359 9.9743 90.00 125.62 90.00
With the nearest neighbours (Å) after each atom.
Space group C2/m (No. 12)
Asymmetric unit:
Tm 0.0000 0.0000 0.0000 (multiplicity 2)  2 Tl 2.77, 4 Au 2.89-2.92
Tm 0.0636 0.5000 0.3574 (multiplicity 4)  3 Au 2.83-3.14, 1 Tl 3.13, 1 Tm 3.15
Tm 0.1795 0.0000 0.6182 (multiplicity 4)  4 Au 2.79-3.09
Tm 0.2148 0.5000 0.8787 (multiplicity 4)  4 Au 2.95-3.24, 1 Tm 3.15
Tl 0.0000 0.5000 0.0000 (multiplicity 2)  2 Tm 2.77
Au 0.0662 0.0000 0.7739 (multiplicity 4)  3 Tm 2.79-3.00
Au 0.2085 0.0000 0.3411 (multiplicity 4)  6 Tm 2.83-3.09

***

[16]
First-principles (PBE) data for Tm2TlAu after structural relaxation, as listed in Alexandria.

Summary:
uncorrected energy: -4.09 eV/atom

Lattice parameters (Å, degrees): 6.7486 3.8858 8.6687 90.00 104.96 90.00
With the nearest neighbours (Å) after each atom.
Space group Cm (No. 8)
Asymmetric unit:
Tm 0.0000 0.0000 0.0000 (multiplicity 2)  3 Au 2.88-2.89
Tm 0.1894 0.0000 0.5668 (multiplicity 2)  3 Au 2.89
Tl 0.2625 0.5000 0.2845 (multiplicity 2)  6 Tm 3.26-3.28
Au 0.0946 0.5000 0.7842 (multiplicity 2)  6 Tm 2.88-2.89

***

[17]
First-principles (PBE) data for TmTl2Au after structural relaxation, as listed in Alexandria.

Summary:
uncorrected energy: -3.40 eV/atom
excess energy over the best structure of this formula in the dataset: 0 meV per atom

Lattice parameters (Å, degrees): 4.5371 4.5371 4.6808 90.00 90.00 90.00
With the nearest neighbours (Å) after each atom.
Space group P4/mmm (No. 123)
Asymmetric unit:
Tm 0.0000 0.0000 0.0000 (multiplicity 1)  4 Au 3.21, 8 Tl 3.26
Tl 0.0000 0.5000 0.5000 (multiplicity 2)  4 Tl 3.21, 4 Tm 3.26, 4 Au 3.26
Au 0.5000 0.5000 0.0000 (multiplicity 1)  4 Tm 3.21, 8 Tl 3.26

***

[18]
First-principles (PBE) data for Tm4TlAu2 after structural relaxation, as listed in Alexandria.

Summary:
uncorrected energy: -4.25 eV/atom
excess energy over the best structure of this formula in the dataset: 98 meV per atom

Lattice parameters (Å, degrees): 4.7942 4.7942 29.2445 90.00 90.00 120.00
With the nearest neighbours (Å) after each atom.
Space group R-3m (No. 166, hexagonal axes)
Asymmetric unit:
Tm 0.0000 0.0000 0.1171 (multiplicity 6)  3 Tl 3.12, 3 Au 3.17
Tm 0.0000 0.0000 0.2979 (multiplicity 6)  4 Au 2.89-2.91
Tl 0.0000 0.0000 0.5000 (multiplicity 3)  2 Au 3.00, 6 Tm 3.12
Au 0.0000 0.0000 0.3974 (multiplicity 6)  7 Tm 2.89-3.17, 1 Tl 3.00

***

[19]
First-principles (PBE) data for Tm3TlAu3 after structural relaxation, as listed in Alexandria.

Summary:
uncorrected energy: -4.23 eV/atom

Lattice parameters (Å, degrees): 10.1939 10.1939 5.9040 90.00 90.00 120.00
With the nearest neighbours (Å) after each atom.
Space group R3m (No. 160, hexagonal axes)
Asymmetric unit:
Tm 0.9998 0.4999 0.0000 (multiplicity 9)  6 Au 2.95-3.10, 2 Tl 3.10
Tl 0.0000 0.0000 0.4989 (multiplicity 3)  6 Tm 3.10
Au 0.0001 0.5000 0.5000 (multiplicity 9)  6 Tm 2.95-3.10

***

[20]
First-principles (PBE) data for Tm8TlAu2 after structural relaxation, as listed in Alexandria.

Summary:
uncorrected energy: -4.36 eV/atom

Lattice parameters (Å, degrees): 8.7027 13.7753 5.3914 90.00 107.51 90.00
With the nearest neighbours (Å) after each atom.
Space group C2/m (No. 12)
Asymmetric unit:
Tm 0.0000 0.2333 0.0000 (multiplicity 4)  2 Au 2.86
Tm 0.1047 0.5000 0.8020 (multiplicity 4)  2 Au 3.15, 4 Tm 3.20-3.47, 1 Tl 3.28
Tm 0.2104 0.1215 0.5954 (multiplicity 8)  2 Au 2.91-3.06
Tl 0.0000 0.0000 0.0000 (multiplicity 2)  8 Tm 3.21-3.59
Au 0.0000 0.3034 0.5000 (multiplicity 4)  8 Tm 2.86-3.15

***

[21]
First-principles (PBE) data for Tm3Tl2Au2 after structural relaxation, as listed in Alexandria.

Summary:
uncorrected energy: -4.07 eV/atom

Lattice parameters (Å, degrees): 4.4507 22.0335 3.4882 90.00 90.00 90.00
With the nearest neighbours (Å) after each atom.
Space group Cmmm (No. 65)
Asymmetric unit:
Tm 0.0000 0.0000 0.0000 (multiplicity 2)  8 Tl 3.31, 4 Tm 3.49-3.70
Tm 0.0000 0.1680 0.0000 (multiplicity 4)  6 Au 2.99-3.17
Tl 0.0000 0.4222 0.5000 (multiplicity 4)  1 Au 2.96, 4 Tm 3.31
Au 0.0000 0.2881 0.5000 (multiplicity 4)  2 Au 2.79, 1 Tl 2.96, 4 Tm 2.99

***

[22]
First-principles (PBE) data for Tm2TlAu after structural relaxation, as listed in Alexandria.

Summary:
uncorrected energy: -4.25 eV/atom

Lattice parameters (Å, degrees): 3.5819 3.5819 7.6110 90.00 90.00 90.00
With the nearest neighbours (Å) after each atom.
Space group P4/mmm (No. 123)
Asymmetric unit:
Tm 0.0000 0.0000 0.2289 (multiplicity 2)  4 Au 3.07, 4 Tl 3.27
Tl 0.5000 0.5000 0.5000 (multiplicity 1)  8 Tm 3.27, 4 Tl 3.58
Au 0.5000 0.5000 0.0000 (multiplicity 1)  8 Tm 3.07

***

[23]
First-principles (PBE) data for Tm7Tl2Au2 after structural relaxation, as listed in Alexandria.

Summary:
uncorrected energy: -4.13 eV/atom

Lattice parameters (Å, degrees): 8.2454 11.0434 7.0946 90.00 90.00 90.00
With the nearest neighbours (Å) after each atom.
Space group Cmmm (No. 65)
Asymmetric unit:
Tm 0.0000 0.0000 0.0000 (multiplicity 2)  2 Au 3.20
Tm 0.0000 0.5000 0.2471 (multiplicity 4)  2 Au 2.91, 2 Tl 3.18
Tm 0.2500 0.2500 0.2586 (multiplicity 8)  2 Au 2.79
Tl 0.1817 0.0000 0.5000 (multiplicity 4)  1 Tl 3.00, 6 Tm 3.18-3.30
Au 0.0000 0.2900 0.0000 (multiplicity 4)  6 Tm 2.79-2.91